Li2CdGeF8: relaxed, PBE.

POSCAR file:
```
Li2CdGeF8
1.0
4.7135 0.0370 0.0055
0.0706 4.7127 0.0035
0.0163 0.0192 6.6624
F Cd Ge Li
8 1 1 2
Direct
0.1949 0.8044 0.2007
0.1949 0.8043 0.7993
0.2681 0.2673 0.9985
0.8051 0.1956 0.7993
0.6853 0.6866 0.5004
0.7319 0.7327 0.0015
0.3147 0.3134 0.4996
0.8051 0.1957 0.2007
0.0000 0.0000 0.5000
0.0000 0.0000 0.0000
0.4982 0.4982 0.7325
0.5018 0.5018 0.2675
```

Calculated values
- formation energy from raw total energies (eV per atom) = -2.55
- uncorrected energy (eV per atom) = -4.577
- spin magnetization (μB per atom) = 0.000

---

CdGeN2F: relaxed, PBE.

POSCAR file:
```
CdGeN2F
1.0
-1.4575 -4.0159 0.0999
-0.0250 -0.0972 -4.2722
4.1136 -1.4927 0.0099
Cd F N Ge
1 1 2 1
Direct
0.0000 0.0000 0.0000
0.0000 0.0000 0.5000
0.5000 0.0000 0.0000
0.0000 0.5000 0.0000
0.5000 0.5000 0.5000
```

Calculated values
- formation energy from raw total energies (eV per atom) = 1.09
- uncorrected energy (eV per atom) = -3.724
- energy relative to the lowest polymorph listed for this composition (kcal/mol of atoms) = 20.71
- spin magnetization (μB per atom) = 0.481

---

CdGeN2F: relaxed, PBE.

POSCAR file:
```
CdGeN2F
1.0
3.6173 0.0000 0.0000
0.0000 6.3308 0.0000
0.0000 0.0000 3.6173
Cd F Ge N
1 1 1 2
Direct
0.0000 0.5000 0.0000
0.5000 0.5000 0.5000
0.0000 0.0000 0.0000
0.5000 0.0000 0.0000
0.0000 0.0000 0.5000
```

Calculated values
- formation energy from raw total energies (eV per atom) = 0.59
- uncorrected energy (eV per atom) = -4.223
- energy relative to the lowest polymorph listed for this composition (kcal/mol of atoms) = 9.22
- spin magnetization (μB per atom) = 0.000

---

CdGeN2F: relaxed, PBE.

POSCAR file:
```
CdGeN2F
1.0
3.8333 0.0000 0.0000
0.0000 3.8333 0.0000
0.0000 0.0000 4.0128
Ge F Cd N
1 1 1 2
Direct
0.0000 0.0000 0.0000
0.0000 0.0000 0.5000
0.5000 0.5000 0.5000
0.5000 0.0000 0.0000
0.0000 0.5000 0.0000
```

Calculated values
- formation energy from raw total energies (eV per atom) = 0.19
- uncorrected energy (eV per atom) = -4.622
- energy relative to the lowest polymorph listed for this composition (kcal/mol of atoms) = 0.00
- spin magnetization (μB per atom) = 0.112

---

Na2CdGeF6: relaxed, PBE.

POSCAR file:
```
Na2CdGeF6
1.0
5.8524 0.0007 0.0001
2.9268 5.0681 -0.0001
2.9270 1.6901 5.0618
F Ge Cd Na
6 1 1 2
Direct
0.7024 0.1133 0.7563
0.1911 0.9325 0.2647
0.9325 0.6117 0.2648
0.6116 0.1911 0.2647
0.1132 0.4282 0.7563
0.4282 0.7023 0.7563
0.8153 0.8153 0.5541
0.3139 0.3139 0.0582
0.0280 0.0281 0.9158
0.5254 0.5253 0.4239
```

Calculated values
- formation energy from raw total energies (eV per atom) = -2.37
- uncorrected energy (eV per atom) = -4.308
- spin magnetization (μB per atom) = 0.000

---

Na2CdGeF8: relaxed, PBE.

POSCAR file:
```
Na2CdGeF8
1.0
-4.7815 0.5161 -1.4063
-0.5425 -4.9558 0.7296
-1.8012 1.1614 6.5502
Na Ge F Cd
2 1 8 1
Direct
0.5000 0.5000 0.2448
0.5000 0.5000 0.7552
0.0000 0.0000 0.0000
0.1767 0.8242 0.1937
0.1767 0.8242 0.8063
0.2619 0.2608 0.0000
0.7381 0.7392 0.0000
0.2983 0.2982 0.5000
0.7017 0.7018 0.5000
0.8233 0.1758 0.1937
0.8233 0.1758 0.8063
0.0000 0.0000 0.5000
```

Calculated values
- formation energy from raw total energies (eV per atom) = -2.53
- uncorrected energy (eV per atom) = -4.459
- spin magnetization (μB per atom) = 0.000

---

CdGeS2F: relaxed, PBE.

POSCAR file:
```
CdGeS2F
1.0
4.7924 0.0000 0.0000
0.0000 5.7138 0.0000
0.0000 0.0000 4.7924
F S Ge Cd
1 2 1 1
Direct
0.5000 0.5000 0.5000
0.5000 0.0000 0.0000
0.0000 0.0000 0.5000
0.0000 0.5000 0.0000
0.0000 0.0000 0.0000
```

Calculated values
- formation energy from raw total energies (eV per atom) = 0.50
- uncorrected energy (eV per atom) = -2.631
- spin magnetization (μB per atom) = 0.000

---

TiCdGeF2: relaxed, PBE.

POSCAR file:
```
TiCdGeF2
1.0
-3.3260 1.8867 -0.8659
-0.2178 -1.9434 -3.3981
-3.3047 -4.5374 2.8068
F Ge Ti Cd
2 1 1 1
Direct
0.0000 0.5000 0.0000
0.5000 0.0000 0.0000
0.5000 0.5000 0.5000
0.0000 0.0000 0.0000
0.0000 0.0000 0.5000
```

Calculated values
- formation energy from raw total energies (eV per atom) = -1.40
- uncorrected energy (eV per atom) = -4.829
- spin magnetization (μB per atom) = 0.182

---

TlCd2GeF: relaxed, PBE.

POSCAR file:
```
TlCd2GeF
1.0
-3.1547 -3.5975 -0.1973
0.0419 -0.3237 5.2321
-3.6027 3.1470 0.2236
Cd Ge F Tl
2 1 1 1
Direct
0.0000 0.0000 0.5000
0.5000 0.0000 0.0000
0.5000 0.5000 0.5000
0.0000 0.0000 0.0000
0.0000 0.5000 0.0000
```

Calculated values
- formation energy from raw total energies (eV per atom) = -0.24
- uncorrected energy (eV per atom) = -2.379
- spin magnetization (μB per atom) = 0.000

---

Zr2CdGeF: relaxed, PBE.

POSCAR file:
```
Zr2CdGeF
1.0
-1.5471 4.7503 1.9348
-2.0614 -1.9339 3.0998
4.4020 0.1924 3.0474
Zr Cd Ge F
2 1 1 1
Direct
0.5000 0.0000 0.0000
0.0000 0.0000 0.5000
0.0000 0.0000 0.0000
0.5000 0.5000 0.5000
0.0000 0.5000 0.0000
```

Calculated values
- formation energy from raw total energies (eV per atom) = 0.39
- uncorrected energy (eV per atom) = -4.510
- spin magnetization (μB per atom) = 0.000

---

CdHF2: relaxed, PBE.

POSCAR file:
```
CdHF2
1.0
-5.5218 1.9194 2.8708
-5.4620 -0.9175 3.4265
-3.9620 0.9131 5.0877
H F Cd
1 2 1
Direct
0.5000 0.5000 0.5000
0.1176 0.1176 0.1176
0.8824 0.8824 0.8824
0.0000 0.0000 0.0000
```

Calculated values
- uncorrected energy (eV per atom) = -2.601
- energy relative to the lowest polymorph listed for this composition (kcal/mol of atoms) = 22.50
- spin magnetization (μB per atom) = 0.000

---

CdHF2: relaxed, PBE.

POSCAR file:
```
CdHF2
1.0
0.0000 2.7933 2.7933
2.7933 0.0000 2.7933
2.7933 2.7933 0.0000
F Cd H
2 1 1
Direct
0.2500 0.2500 0.2500
0.7500 0.7500 0.7500
0.5000 0.5000 0.5000
0.0000 0.0000 0.0000
```

Calculated values
- uncorrected energy (eV per atom) = -3.027
- energy relative to the lowest polymorph listed for this composition (kcal/mol of atoms) = 12.67
- spin magnetization (μB per atom) = 0.249